# Nd3Si3Rh2 PBE optimized geometry
# energy relative to the lowest polymorph listed for this composition = 0 meV per atom
# formation energy from raw total energies = -0.88 eV per atom
# uncorrected energy = -209.21 eV for the cell shown
# spin magnetization = 0.00 Bohr magnetons per cell
data_Nd3Si3Rh2
_space_group_name_H-M_alt 'C m c m'
_space_group_IT_number 63
_space_group_name_Hall '-C 2c 2'
_cell_length_a 4.2632
_cell_length_b 11.0620
_cell_length_c 14.1791
_cell_angle_alpha 90.00
_cell_angle_beta 90.00
_cell_angle_gamma 90.00
loop_
_atom_site_label
_atom_site_fract_x
_atom_site_fract_y
_atom_site_fract_z
Nd1 0.0000 0.0787 0.1144
Nd2 0.0000 0.3597 0.2500
Si1 0.0000 0.3281 0.7500
Si2 0.0000 0.3828 0.0410
Rh1 0.0000 0.2178 0.5751

# Nd6SmSe8 PBE optimized geometry
# formation energy from raw total energies = -1.88 eV per atom
# uncorrected energy = -357.37 eV for the cell shown
# spin magnetization = 0.00 Bohr magnetons per cell
data_Nd6SmSe8
_space_group_name_H-M_alt 'F m -3 m'
_space_group_IT_number 225
_space_group_name_Hall '-F 4 2 3'
_cell_length_a 11.9199
_cell_length_b 11.9199
_cell_length_c 11.9199
_cell_angle_alpha 90.00
_cell_angle_beta 90.00
_cell_angle_gamma 90.00
loop_
_atom_site_label
_atom_site_fract_x
_atom_site_fract_y
_atom_site_fract_z
Nd1 0.0000 0.2500 0.2500
Sm1 0.0000 0.0000 0.0000
Se1 0.0000 0.0000 0.2504
Se2 0.2500 0.2500 0.2500

# AlTlMo PBE optimized geometry
# energy relative to the lowest polymorph listed for this composition = 380 meV per atom
# uncorrected energy = -58.06 eV for the cell shown
# energy of formation = 808 meV/atom
# spin magnetization = 8.23 Bohr magnetons per cell
data_AlTlMo
_space_group_name_H-M_alt 'F -4 3 m'
_space_group_IT_number 216
_space_group_name_Hall 'F -4 2 3'
_cell_length_a 6.4573
_cell_length_b 6.4573
_cell_length_c 6.4573
_cell_angle_alpha 90.00
_cell_angle_beta 90.00
_cell_angle_gamma 90.00
loop_
_atom_site_label
_atom_site_fract_x
_atom_site_fract_y
_atom_site_fract_z
Al1 0.0000 0.0000 0.0000
Tl1 0.0000 0.0000 0.5000
Mo1 0.2500 0.2500 0.2500

# K3Sm3NpO8 PBE optimized geometry
# formation energy from raw total energies = -2.73 eV per atom
# uncorrected energy = -332.95 eV for the cell shown
# spin magnetization = 9.00 Bohr magnetons per cell
data_K3Sm3NpO8
_space_group_name_H-M_alt 'R -3 m'
_space_group_IT_number 166
_space_group_name_Hall '-R 3 2"'
_cell_length_a 7.1324
_cell_length_b 7.1324
_cell_length_c 19.0539
_cell_angle_alpha 90.00
_cell_angle_beta 90.00
_cell_angle_gamma 120.00
loop_
_atom_site_label
_atom_site_fract_x
_atom_site_fract_y
_atom_site_fract_z
K1 0.0000 0.5000 0.0000
Sm1 0.0000 0.5000 0.5000
Np1 0.0000 0.0000 0.5000
O1 0.0000 0.0000 0.2283
O2 0.0171 0.5085 0.2255